This record from Alexandria via LeMat-Bulk describes crystalline Hg2Pb at its relaxed geometry. The functional is GGA-PBE.

Properties
Offset from the most stable computed form, kJ/mol of atoms: 2.5
Space-group type: P-3m1
Crystal system: trigonal
ΔE_f, meV per atom: 52.6
E, eV/atom: -1.38

Cell: 4.9653 4.9653 3.9366 Å, 90.00 90.00 120.00°
With the nearest neighbours (Å) after each atom.
Atoms (fractional coordinates):
Hg1 0.3333 0.6667 0.1405  3 Hg 3.07, 3 Pb 3.20
Hg2 0.6667 0.3333 0.8595  3 Hg 3.07, 3 Pb 3.20
Pb1 0.0000 0.0000 0.5000  6 Hg 3.20